No. 1
Compound: Ag2CO3
Source: the Alexandria database
Functional: SCAN
Structure: single point on PBEsol structure

abc: 9.260 9.260 6.030
angles: 90.00 90.00 120.00
Positions (direct):
Ag1 0.019 0.671 0.000
Ag2 0.033 0.334 0.215
Ag3 0.301 0.967 0.215
Ag4 0.329 0.348 0.000
Ag5 0.334 0.033 0.715
Ag6 0.348 0.329 0.500
Ag7 0.652 0.981 0.000
Ag8 0.666 0.699 0.215
Ag9 0.671 0.019 0.500
Ag10 0.699 0.666 0.715
Ag11 0.967 0.301 0.715
Ag12 0.981 0.652 0.500
C1 0.000 0.000 0.121
C2 0.000 0.000 0.621
C3 0.333 0.667 0.284
C4 0.333 0.667 0.772
C5 0.667 0.333 0.272
C6 0.667 0.333 0.784
O1 0.079 0.918 0.622
O2 0.082 0.161 0.622
O3 0.161 0.082 0.122
O4 0.172 0.591 0.284
O5 0.239 0.733 0.770
O6 0.267 0.505 0.770
O7 0.409 0.582 0.284
O8 0.418 0.828 0.284
O9 0.495 0.761 0.770
O10 0.505 0.267 0.270
O11 0.582 0.409 0.784
O12 0.591 0.172 0.784
O13 0.733 0.239 0.270
O14 0.761 0.495 0.270
O15 0.828 0.418 0.784
O16 0.839 0.921 0.622
O17 0.918 0.079 0.122
O18 0.921 0.839 0.122

Crystal system = trigonal
SG = P31c, No. 159
Energy above the lowest structure with this stoichiometry = 16.7 kJ/mol of formula units
Calculated volume = 447.7 Å³/cell
Uncorrected formation energy = -818 meV/atom
Total magnetization = 0.00 μB per formula unit

---

No. 2
Compound: LiAlCd
Source: the Alexandria database
Functional: SCAN
Structure: single point on PBEsol structure

abc: 4.917 4.917 4.917
angles: 144.78 129.61 62.97
Positions (direct):
Li1 0.000 0.000 0.000
Al1 0.666 0.666 0.000
Cd1 0.333 0.333 0.000

Crystal system = orthorhombic
SG = Imm2, No. 44
Energy above the lowest structure with this stoichiometry = 0.1 kJ/mol of formula units
Calculated volume = 52.2 Å³/cell
Fermi-level density of states = 0.7 states/eV/f.u.
Total magnetization = 0.00 μB per formula unit
ΔE_f = -130.5 meV/atom

---

Question: Among the records above, which one has the lowest calculated volume?
Answer: LiAlCd